VASP calculation (GGA-PBEsol) on an optimized crystal structure of KCa3.

The structure belongs to space group P-6m2 (No. 187); the cell edges are 3.9332, 3.9332 and 13.5282 Å and the angles 90.00°, 90.00° and 120.00°. Symmetry generates all atoms from K at (0.0000, 0.0000, 0.0000), Ca at (0.0000, 0.0000, 0.5000) and Ca at (0.6667, 0.3333, 0.2692).

Its formation energy is 0.085 eV/atom. Its calculated density is 1.5 Mg/m³. The value obtained for the total energy is -1.799 eV per atom. The value obtained for the density of states at the Fermi level is 1.03 states/eV/atom. As for the calculated volume: 45.3 A^3/atom.



VASP calculation (GGA-PBEsol) on an optimized crystal structure of KCa5.

The structure belongs to space group Amm2 (No. 38); the cell edges are 6.474, 3.884 and 20.774 Å and the angles 90.00°, 90.00° and 90.00°. Symmetry generates all atoms from K at (0.000, 0.000, 0.000), Ca at (0.000, 0.000, 0.329), Ca at (0.000, 0.000, 0.673), Ca at (0.500, 0.000, 0.226), Ca at (0.500, 0.000, 0.565) and Ca at (0.500, 0.000, 0.888).

Its formation energy is 0.088 eV/atom. Its calculated density is 1.5 Mg/m³. For the energy above the most stable polymorph in this dataset, the calculation gives 0.0007 eV per atom. The value obtained for the total energy is -1.878 eV per atom. The value obtained for the density of states at the Fermi level is 1.02 states/eV/atom. As for the calculated volume: 43.5 A^3/atom.



VASP calculation (GGA-PBEsol) on an optimized crystal structure of KCa3.

The structure belongs to space group R-3m (No. 166, hexagonal axes); the cell edges are 3.9316, 3.9316 and 40.4833 Å and the angles 90.00°, 90.00° and 120.00°. Symmetry generates all atoms from K at (0.0000, 0.0000, 0.0000), Ca at (0.0000, 0.0000, 0.2434) and Ca at (0.0000, 0.0000, 0.5000).

Its formation energy is 0.085 eV/atom. Its calculated density is 1.5 Mg/m³. The value obtained for the total energy is -1.798 eV per atom. The value obtained for the density of states at the Fermi level is 1.14 states/eV/atom. As for the calculated volume: 45.2 A^3/atom.



VASP calculation (GGA-PBEsol) on an optimized crystal structure of KCa5.

The structure belongs to space group Cm (No. 8); the cell edges are 14.683, 3.889 and 9.486 Å and the angles 90.00°, 105.20° and 90.00°. Symmetry generates all atoms from K at (0.000, 0.000, 0.000), Ca at (0.115, 0.500, 0.710), Ca at (0.173, 0.500, 0.345), Ca at (0.273, 0.000, 0.057), Ca at (0.331, 0.000, 0.659) and Ca at (0.443, 0.500, 0.393).

Its formation energy is 0.087 eV/atom. Its calculated density is 1.5 Mg/m³. For the energy above the most stable polymorph in this dataset, the calculation gives 0.0000 eV per atom. The value obtained for the total energy is -1.879 eV per atom. The value obtained for the density of states at the Fermi level is 0.98 states/eV/atom. As for the calculated volume: 43.6 A^3/atom.



VASP calculation (GGA-PBEsol) on an optimized crystal structure of KCa3.

The structure belongs to space group P4/mmm (No. 123); the cell edges are 3.879, 3.879 and 12.124 Å and the angles 90.00°, 90.00° and 90.00°. Symmetry generates all atoms from K at (0.000, 0.000, 0.000), Ca at (0.000, 0.000, 0.500) and Ca at (0.500, 0.500, 0.278).

Its formation energy is 0.091 eV/atom. Its calculated density is 1.5 Mg/m³. The value obtained for the total energy is -1.792 eV per atom. The value obtained for the density of states at the Fermi level is 1.08 states/eV/atom. As for the calculated volume: 45.6 A^3/atom.



VASP calculation (GGA-PBEsol) on an optimized crystal structure of KCa7.

The structure belongs to space group Fm-3m (No. 225); the cell edges are 11.070, 11.070 and 11.070 Å and the angles 90.00°, 90.00° and 90.00°. Symmetry generates all atoms from K at (0.000, 0.000, 0.000), Ca at (0.000, 0.000, 0.500) and Ca at (0.000, 0.250, 0.250).

Its formation energy is 0.086 eV/atom. Its calculated density is 1.6 Mg/m³. The value obtained for the total energy is -1.922 eV per atom. The value obtained for the density of states at the Fermi level is 1.24 states/eV/atom. As for the calculated volume: 42.4 A^3/atom.



VASP calculation (GGA-PBEsol) on an optimized crystal structure of KCa5.

The structure belongs to space group Cmmm (No. 65); the cell edges are 5.560, 16.875 and 5.554 Å and the angles 90.00°, 90.00° and 90.00°. Symmetry generates all atoms from K at (0.000, 0.000, 0.000), Ca at (0.000, 0.173, 0.500), Ca at (0.000, 0.329, 0.000) and Ca at (0.000, 0.500, 0.500).

Its formation energy is 0.108 eV/atom. Its calculated density is 1.5 Mg/m³. For the energy above the most stable polymorph in this dataset, the calculation gives 0.0205 eV per atom. The value obtained for the total energy is -1.859 eV per atom. The value obtained for the density of states at the Fermi level is 1.11 states/eV/atom. As for the calculated volume: 43.4 A^3/atom.



VASP calculation (GGA-PBEsol) on an optimized crystal structure of KCa3.

The structure belongs to space group Pmm2 (No. 25); the cell edges are 3.894, 6.565 and 7.059 Å and the angles 90.00°, 90.00° and 90.00°. Symmetry generates all atoms from K at (0.000, 0.000, 0.000), Ca at (0.000, 0.500, 0.671), Ca at (0.500, 0.000, 0.501) and Ca at (0.500, 0.500, 0.198).

Its formation energy is 0.135 eV/atom. Its calculated density is 1.5 Mg/m³. The value obtained for the total energy is -1.748 eV per atom. The value obtained for the density of states at the Fermi level is 1.09 states/eV/atom. As for the calculated volume: 45.1 A^3/atom.